First-principles (PBE-GGA) data for a relaxed SrB2Au crystal, as listed in Alexandria via LeMat-Bulk. Values from VASP.

Quantum ESPRESSO input file:
```
&SYSTEM
  ibrav = 0, nat = 16, ntyp = 3
/
ATOMIC_SPECIES
Sr 87.62 Sr.upf
B 10.81 B.upf
Au 196.97 Au.upf
CELL_PARAMETERS angstrom
6.323 0.000 0.000
0.000 6.323 0.000
0.000 0.000 6.323
ATOMIC_POSITIONS angstrom
Sr 0.000 0.000 0.000
Sr 0.000 3.162 3.162
Sr 3.162 0.000 3.162
Sr 3.162 3.162 0.000
B 1.581 1.581 1.581
B 1.581 1.581 4.743
B 1.581 4.743 1.581
B 1.581 4.743 4.743
B 4.743 1.581 1.581
B 4.743 1.581 4.743
B 4.743 4.743 1.581
B 4.743 4.743 4.743
Au 0.000 0.000 3.162
Au 0.000 3.162 0.000
Au 3.162 0.000 0.000
Au 3.162 3.162 3.162
```

Properties
- Magnetization: 0.00 μB per atom
- N(E_F): 9.29 states/eV/cell
- Energy relative to the lowest polymorph listed for this composition: 643 meV/atom